Cr2In2Au PBE relaxed; energy relative to the elements = 0.395 eV/atom; Fermi-level density of states = 0.861 states/eV per atom; symmetry = I4/mmm; excess energy over the best structure of this formula in the dataset = 0.0730 eV/atom; total magnetic moment = 0.00 Bohr magnetons per cell
1.0
-1.611 1.611 8.758
1.611 -1.611 8.758
1.611 1.611 -8.758
Cr In Au
2 2 1
Cartesian
1.611 0.000 4.379 Cr
0.000 1.611 4.379 Cr
0.000 0.000 1.968 In
0.000 0.000 15.547 In
0.000 0.000 8.758 Au


LaHfRePd2 PBE relaxed; energy relative to the elements = 1.423 eV/atom; Fermi-level density of states = 1.061 states/eV per atom; symmetry = P4/mmm; total magnetic moment = 0.00 Bohr magnetons per cell
1.0
4.725 0.000 0.000
0.000 4.725 0.000
0.000 0.000 5.621
La Hf Re Pd
1 1 1 2
Cartesian
0.000 0.000 0.000 La
0.000 0.000 2.811 Hf
2.362 2.362 0.000 Re
0.000 2.362 2.811 Pd
2.362 0.000 2.811 Pd


Dy8Th2Sc PBE relaxed; energy relative to the elements = 0.221 eV/atom; Fermi-level density of states = 1.580 states/eV per atom; symmetry = C2/m; excess energy over the best structure of this formula in the dataset = 0.0323 eV/atom; total magnetic moment = 0.00 Bohr magnetons per cell
1.0
9.310 -3.463 0.000
9.310 3.463 0.000
-0.174 0.000 5.611
Dy Th Sc
8 2 1
Cartesian
0.839 0.000 1.320 Dy
6.877 1.857 1.451 Dy
5.871 0.000 4.310 Dy
11.568 1.857 4.160 Dy
6.877 -1.857 1.451 Dy
12.575 0.000 1.302 Dy
11.568 -1.857 4.160 Dy
17.607 0.000 4.292 Dy
4.053 0.000 1.492 Th
14.393 0.000 4.120 Th
9.310 0.000 0.000 Sc


What did the second record say?
LaHfRePd2 PBE relaxed; energy relative to the elements = 1.423 eV/atom; Fermi-level density of states = 1.061 states/eV per atom; symmetry = P4/mmm; total magnetic moment = 0.00 Bohr magnetons per cell
1.0
4.725 0.000 0.000
0.000 4.725 0.000
0.000 0.000 5.621
La Hf Re Pd
1 1 1 2
Cartesian
0.000 0.000 0.000 La
0.000 0.000 2.811 Hf
2.362 2.362 0.000 Re
0.000 2.362 2.811 Pd
2.362 0.000 2.811 Pd


> Which of these has the highest Fermi-level density of states?

Dy8Th2Sc